--- w ---
{
  "formula": "KCa2Ag2",
  "functional": "PBE",
  "state": "relaxed",
  "total_magnetization_mub_per_cell": 0.00,
  "lattice_angstrom": [[5.158, 0.000, 0.000], [0.000, 5.158, 0.000], [2.579, 2.579, 6.371]],
  "species": ["Ca", "Ca", "K", "Ag", "Ag"],
  "frac_coords": [[0.750, 0.250, 0.500], [0.250, 0.750, 0.500], [0.000, 0.000, 0.000], [0.390, 0.390, 0.220], [0.610, 0.610, 0.780]]
}



--- x ---
{
  "formula": "KCa2Ag2",
  "functional": "PBE",
  "state": "relaxed",
  "total_magnetization_mub_per_cell": 0.00,
  "lattice_angstrom": [[9.222, 0.000, 0.000], [0.000, 9.222, 0.000], [0.000, 0.000, 3.599]],
  "species": ["Ca", "Ca", "Ca", "Ca", "K", "K", "Ag", "Ag", "Ag", "Ag"],
  "frac_coords": [[0.365, 0.865, 0.000], [0.865, 0.635, 0.000], [0.635, 0.135, 0.000], [0.135, 0.365, 0.000], [0.000, 0.000, 0.000], [0.500, 0.500, 0.000], [0.155, 0.655, 0.500], [0.655, 0.845, 0.500], [0.845, 0.345, 0.500], [0.345, 0.155, 0.500]]
}



So which one is most stable? That would be x, about 9 meV/atom below the next structure.



--- w ---
{
  "formula": "KCa2Ag2",
  "functional": "PBE",
  "state": "relaxed",
  "total_magnetization_mub_per_cell": 0.00,
  "lattice_angstrom": [[8.766, 0.000, 0.000], [0.000, 8.766, 0.000], [0.000, 0.000, 4.039]],
  "species": ["Ca", "Ca", "Ca", "Ca", "K", "K", "Ag", "Ag", "Ag", "Ag"],
  "frac_coords": [[0.156, 0.656, 0.500], [0.656, 0.844, 0.500], [0.844, 0.344, 0.500], [0.344, 0.156, 0.500], [0.000, 0.000, 0.000], [0.500, 0.500, 0.000], [0.376, 0.876, 0.000], [0.876, 0.624, 0.000], [0.624, 0.124, 0.000], [0.124, 0.376, 0.000]]
}



--- x ---
{
  "formula": "KCa2Ag2",
  "functional": "PBE",
  "state": "relaxed",
  "total_magnetization_mub_per_cell": 0.00,
  "lattice_angstrom": [[-5.401, -1.386, -0.393], [0.098, -1.872, 5.266], [-4.218, 3.907, 4.434]],
  "species": ["Ca", "Ca", "K", "Ag", "Ag"],
  "frac_coords": [[0.340, 0.340, 0.319], [0.660, 0.660, 0.681], [0.000, 0.000, 0.000], [0.750, 0.250, 0.500], [0.250, 0.750, 0.500]]
}



So which one is most stable? That would be w, about 172 meV/atom below the next structure.



--- w ---
{
  "formula": "KCaAg",
  "functional": "PBE",
  "state": "relaxed",
  "total_magnetization_mub_per_cell": 0.00,
  "lattice_angstrom": [[7.881, -0.027, 0.029], [6.920, 3.770, 0.031], [0.960, 0.240, 3.789]],
  "species": ["Ag", "Ca", "K"],
  "frac_coords": [[0.978, 0.978, 0.022], [0.379, 0.379, 0.621], [0.642, 0.642, 0.358]]
}



--- x ---
{
  "formula": "KCaAg",
  "functional": "PBE",
  "state": "relaxed",
  "total_magnetization_mub_per_cell": 0.00,
  "lattice_angstrom": [[-2.613, 4.383, 1.965], [-4.409, 1.942, -2.586], [-4.953, -0.551, 2.250]],
  "species": ["Ag", "Ca", "K"],
  "frac_coords": [[0.500, 0.500, 0.500], [0.750, 0.750, 0.750], [0.000, 0.000, 0.000]]
}



So which one is most stable? That would be w, about 374 meV/atom below the next structure.



--- w ---
{
  "formula": "K3CaAg",
  "functional": "PBE",
  "state": "relaxed",
  "total_magnetization_mub_per_cell": 0.00,
  "lattice_angstrom": [[-1.511, -4.403, 4.631], [5.573, -3.236, -1.258], [3.126, 3.641, 4.482]],
  "species": ["Ca", "K", "K", "K", "Ag"],
  "frac_coords": [[0.500, 0.500, 0.500], [0.000, 0.500, 0.000], [0.000, 0.000, 0.500], [0.500, 0.000, 0.000], [0.000, 0.000, 0.000]]
}



--- x ---
{
  "formula": "K3CaAg",
  "functional": "PBE",
  "state": "relaxed",
  "total_magnetization_mub_per_cell": 0.00,
  "lattice_angstrom": [[7.415, 0.000, 0.000], [0.000, 7.415, 0.000], [0.000, 0.000, 7.415]],
  "species": ["Ca", "K", "K", "K", "Ag"],
  "frac_coords": [[0.000, 0.000, 0.000], [0.000, 0.500, 0.000], [0.000, 0.000, 0.500], [0.500, 0.000, 0.000], [0.500, 0.500, 0.500]]
}



So which one is most stable? That would be w, about 452 meV/atom below the next structure.



--- w ---
{
  "formula": "KCaAg3",
  "functional": "PBE",
  "state": "relaxed",
  "total_magnetization_mub_per_cell": 0.00,
  "lattice_angstrom": [[-1.632, 5.529, -0.262], [-3.349, -1.203, -4.543], [-4.407, -1.133, 3.549]],
  "species": ["Ca", "K", "Ag", "Ag", "Ag"],
  "frac_coords": [[0.000, 0.000, 0.000], [0.500, 0.500, 0.500], [0.000, 0.500, 0.000], [0.000, 0.000, 0.500], [0.500, 0.000, 0.000]]
}



--- x ---
{
  "formula": "KCaAg3",
  "functional": "PBE",
  "state": "relaxed",
  "total_magnetization_mub_per_cell": 0.00,
  "lattice_angstrom": [[-2.347, 4.499, -2.288], [-0.186, -2.598, -4.919], [-5.044, -1.998, 1.246]],
  "species": ["Ca", "K", "Ag", "Ag", "Ag"],
  "frac_coords": [[0.500, 0.500, 0.500], [0.000, 0.000, 0.000], [0.000, 0.500, 0.000], [0.000, 0.000, 0.500], [0.500, 0.000, 0.000]]
}



So which one is most stable? That would be w, about 352 meV/atom below the next structure.



--- w ---
{
  "formula": "KCa3Ag",
  "functional": "PBE",
  "state": "relaxed",
  "total_magnetization_mub_per_cell": 0.00,
  "lattice_angstrom": [[6.488, 0.000, 0.000], [0.000, 6.488, 0.000], [0.000, 0.000, 6.488]],
  "species": ["Ca", "Ca", "Ca", "K", "Ag"],
  "frac_coords": [[0.000, 0.500, 0.000], [0.000, 0.000, 0.500], [0.500, 0.000, 0.000], [0.000, 0.000, 0.000], [0.500, 0.500, 0.500]]
}



--- x ---
{
  "formula": "KCa3Ag",
  "functional": "PBE",
  "state": "relaxed",
  "total_magnetization_mub_per_cell": 0.00,
  "lattice_angstrom": [[-4.432, 3.929, -0.825], [-3.721, -3.557, 3.045], [1.510, 2.770, 5.081]],
  "species": ["Ca", "Ca", "Ca", "K", "Ag"],
  "frac_coords": [[0.000, 0.500, 0.000], [0.000, 0.000, 0.500], [0.500, 0.000, 0.000], [0.500, 0.500, 0.500], [0.000, 0.000, 0.000]]
}



So which one is most stable? That would be x, about 1046 meV/atom below the next structure.



--- w ---
{
  "formula": "K2CaAg2",
  "functional": "PBE",
  "state": "relaxed",
  "total_magnetization_mub_per_cell": 0.00,
  "lattice_angstrom": [[8.161, 0.000, 0.000], [0.000, 8.161, 0.000], [0.000, 0.000, 5.362]],
  "species": ["Ca", "Ca", "K", "K", "K", "K", "Ag", "Ag", "Ag", "Ag"],
  "frac_coords": [[0.000, 0.000, 0.000], [0.500, 0.500, 0.000], [0.166, 0.666, 0.500], [0.666, 0.834, 0.500], [0.834, 0.334, 0.500], [0.334, 0.166, 0.500], [0.376, 0.876, 0.000], [0.876, 0.624, 0.000], [0.624, 0.124, 0.000], [0.124, 0.376, 0.000]]
}



--- x ---
{
  "formula": "K2CaAg2",
  "functional": "PBE",
  "state": "relaxed",
  "total_magnetization_mub_per_cell": 0.00,
  "lattice_angstrom": [[9.492, 0.000, 0.000], [0.000, 9.492, 0.000], [0.000, 0.000, 3.756]],
  "species": ["Ca", "Ca", "K", "K", "K", "K", "Ag", "Ag", "Ag", "Ag"],
  "frac_coords": [[0.000, 0.000, 0.000], [0.500, 0.500, 0.000], [0.376, 0.876, 0.000], [0.876, 0.624, 0.000], [0.624, 0.124, 0.000], [0.124, 0.376, 0.000], [0.180, 0.680, 0.500], [0.680, 0.820, 0.500], [0.820, 0.320, 0.500], [0.320, 0.180, 0.500]]
}



So which one is most stable? That would be w, about 131 meV/atom below the next structure.